VASP calculation (PBE) on a relaxed structure of Ba2AlZn2.

Cell: 3.9766 3.9766 20.5326 Å, 90.00 90.00 90.00°
Space group I4/mmm (No. 139)
Symmetry-distinct sites (fractional):
Ba: 0.0000 0.0000 0.1047 [4 per cell]
Al: 0.0000 0.0000 0.5000 [2 per cell]
Zn: 0.0000 0.5000 0.2500 [4 per cell]

Results
As for the total magnetization: 0.00 μB/f.u. Its relative energy among the computed polymorphs is 186 meV per atom. The formation enthalpy at 0 K comes out at 0.074 eV/f.u.